This record from the Open Quantum Materials Database describes a relaxed DyY2Er2Lu2Ni2Te2 crystal. The functional is PBE.

abc: 3.8242 15.4718 9.5201
angles: 90.00 90.00 90.00
Space group Imm2 (No. 44)
Symmetry-distinct sites (fractional):
Dy  0.0000  0.0000  0.0000 x2
Y  0.0000  0.3152  0.6208 x4
Er  0.0000  0.1321  0.4190 x4
Lu  0.0000  0.3531  0.2699 x4
Ni  0.0000  0.2384  0.9272 x4
Te  0.0000  0.0000  0.6649 x2
Te  0.0000  0.5000  0.7655 x2

## Properties
Spin magnetization (μB per atom): 0.001
ΔE to the lowest computed polymorph (eV/atom): 0.022

***

This record from the Open Quantum Materials Database describes a relaxed Dy2Y2Er2LuNi2Te2 crystal. The functional is PBE.

abc: 3.8380 15.5815 9.5705
angles: 90.00 90.00 90.00
Space group Imm2 (No. 44)
Symmetry-distinct sites (fractional):
Dy  0.0000  0.1844  0.0000 x4
Y  0.0000  0.1456  0.6501 x4
Er  0.0000  0.3672  0.7981 x4
Lu  0.0000  0.5000  0.3805 x2
Ni  0.0000  0.2605  0.3093 x4
Te  0.0000  0.0000  0.1453 x2
Te  0.0000  0.5000  0.0432 x2

## Properties
Spin magnetization (μB per atom): 0.001
ΔE to the lowest computed polymorph (eV/atom): 0.005

***

This record from the Open Quantum Materials Database describes a relaxed Dy2Y2Er2LuNi2Te2 crystal. The functional is PBE.

abc: 3.8352 15.5831 9.5639
angles: 90.00 90.00 90.00
Space group Imm2 (No. 44)
Symmetry-distinct sites (fractional):
Dy  0.0000  0.1846  0.0000 x4
Y  0.0000  0.3688  0.7991 x4
Er  0.0000  0.1462  0.6508 x4
Lu  0.0000  0.5000  0.3805 x2
Ni  0.0000  0.2625  0.3084 x4
Te  0.0000  0.0000  0.1444 x2
Te  0.0000  0.5000  0.0458 x2

## Properties
Spin magnetization (μB per atom): 0.001
ΔE to the lowest computed polymorph (eV/atom): 0.007

***

This record from the Open Quantum Materials Database describes a relaxed Dy2YEr2Lu2Ni2Te2 crystal. The functional is PBE.

abc: 3.8247 15.4718 9.5153
angles: 90.00 90.00 90.00
Space group Imm2 (No. 44)
Symmetry-distinct sites (fractional):
Dy  0.0000  0.1327  0.0000 x4
Y  0.0000  0.0000  0.5804 x2
Er  0.0000  0.3140  0.2021 x4
Lu  0.0000  0.3526  0.8525 x4
Ni  0.0000  0.2358  0.5078 x4
Te  0.0000  0.0000  0.2470 x2
Te  0.0000  0.5000  0.3448 x2

## Properties
Spin magnetization (μB per atom): 0.002
ΔE to the lowest computed polymorph (eV/atom): 0.010

***

This record from the Open Quantum Materials Database describes a relaxed Dy2Y2Er2LuNi2Te2 crystal. The functional is PBE.

abc: 3.8349 15.5715 9.5720
angles: 90.00 90.00 90.00
Space group Imm2 (No. 44)
Symmetry-distinct sites (fractional):
Dy  0.0000  0.1462  0.0000 x4
Y  0.0000  0.1840  0.3503 x4
Er  0.0000  0.3676  0.1478 x4
Lu  0.0000  0.5000  0.7291 x2
Ni  0.0000  0.2609  0.6561 x4
Te  0.0000  0.0000  0.4944 x2
Te  0.0000  0.5000  0.3927 x2

## Properties
Spin magnetization (μB per atom): 0.001
ΔE to the lowest computed polymorph (eV/atom): 0.008

***

This record from the Open Quantum Materials Database describes a relaxed Dy2Y2Er2LuNi2Te2 crystal. The functional is PBE.

abc: 3.8351 15.5783 9.5634
angles: 90.00 90.00 90.00
Space group Imm2 (No. 44)
Symmetry-distinct sites (fractional):
Dy  0.0000  0.1327  0.0000 x4
Y  0.0000  0.3541  0.8524 x4
Er  0.0000  0.3156  0.2016 x4
Lu  0.0000  0.0000  0.5825 x2
Ni  0.0000  0.2384  0.5119 x4
Te  0.0000  0.0000  0.2469 x2
Te  0.0000  0.5000  0.3448 x2

## Properties
Spin magnetization (μB per atom): 0.001
ΔE to the lowest computed polymorph (eV/atom): 0.000